DFT (GGA-PBE) results for a relaxed ZnAg2SO6 crystal.

The space group is P-3m1 (No. 164) and the conventional cell measures 5.6112, 5.6112 and 5.2391 Å, with angles of 90.00, 90.00 and 120.00 degrees. The asymmetric unit holds Zn at (0.0000, 0.0000, 0.0000), Ag at (0.3333, 0.6667, 0.5457), S at (0.0000, 0.0000, 0.5000) and O at (0.1381, 0.2762, 0.3071).

Its raw total energy is -44.977 eV per cell.

---

DFT (GGA-PBE) results for a relaxed AlFeW2 crystal.

The space group is F-43m (No. 216) and the conventional cell measures 6.1371, 6.1371 and 6.1371 Å, with angles of 90.00, 90.00 and 90.00 degrees. The asymmetric unit holds Al at (0.0000, 0.0000, 0.0000), Fe at (0.2500, 0.2500, 0.7500), W at (0.0000, 0.0000, 0.5000) and W at (0.2500, 0.2500, 0.2500).

For the formation energy, the calculation gives 7.43 kJ per mole of atoms.